A plane-wave DFT calculation with PBEsol was carried out for KAg2Hg after structural relaxation.

The structure in CIF format:
```
data_KAg2Hg
_space_group_name_H-M_alt 'R 3 m'
_space_group_IT_number 160
_space_group_name_Hall 'R 3 -2"'
_cell_length_a 4.7467
_cell_length_b 4.7467
_cell_length_c 17.2138
_cell_angle_alpha 90.00
_cell_angle_beta 90.00
_cell_angle_gamma 120.00
loop_
_atom_site_label
_atom_site_type_symbol
_atom_site_fract_x
_atom_site_fract_y
_atom_site_fract_z
K1 K 0.0000 0.0000 0.0000
Ag1 Ag 0.0000 0.0000 0.1905
Ag2 Ag 0.0000 0.0000 0.5084
Hg1 Hg 0.0000 0.0000 0.8063
```

Summary:
The spin magnetization is 0.00 Bohr magnetons per cell. The crystal system is trigonal. For the energy relative to the lowest polymorph listed for this composition, the calculation gives 0 meV per atom. As for the energy: -25.10 eV/cell. The density of states at the Fermi level is 0.2658 states/eV/atom.